# 1
Below is a relaxed structure of YSi3Os3, with properties calculated at the PBE level.

Lattice parameters (Å, degrees): 6.523 6.523 6.523 90.00 90.00 90.00
Element x y z (fractional)
Y  0.500  0.500  0.500
Y  0.000  0.000  0.000
Si  0.000  0.250  0.500
Si  0.000  0.750  0.500
Si  0.500  0.000  0.750
Si  0.750  0.500  0.000
Si  0.500  0.000  0.250
Si  0.250  0.500  0.000
Os  0.250  0.000  0.500
Os  0.000  0.500  0.250
Os  0.500  0.750  0.000
Os  0.750  0.000  0.500
Os  0.000  0.500  0.750
Os  0.500  0.250  0.000

Crystal system: cubic
Density of states at the Fermi level in states/eV per cell: 5.0
E_form (uncorrected) in eV/atom: 0.0895
Energy above the most stable polymorph in this dataset in meV per atom: 294


# 2
Below is a relaxed structure of Y2SiOs, with properties calculated at the PBE level.

Lattice parameters (Å, degrees): 7.639 7.639 6.243 52.28 52.28 90.00
Element x y z (fractional)
Y  0.649  0.125  0.250
Y  0.101  0.625  0.250
Y  0.375  0.351  0.750
Y  0.875  0.899  0.750
Si  0.500  0.500  0.000
Si  0.250  0.750  0.500
Os  0.000  0.000  0.000
Os  0.750  0.250  0.500

Crystal system: tetragonal
Density of states at the Fermi level in states/eV per cell: 4.8
E_form (uncorrected) in eV/atom: 0.2500


What did the second record say?
Below is a relaxed structure of Y2SiOs, with properties calculated at the PBE level.

Lattice parameters (Å, degrees): 7.639 7.639 6.243 52.28 52.28 90.00
Element x y z (fractional)
Y  0.649  0.125  0.250
Y  0.101  0.625  0.250
Y  0.375  0.351  0.750
Y  0.875  0.899  0.750
Si  0.500  0.500  0.000
Si  0.250  0.750  0.500
Os  0.000  0.000  0.000
Os  0.750  0.250  0.500

Crystal system: tetragonal
Density of states at the Fermi level in states/eV per cell: 4.8
E_form (uncorrected) in eV/atom: 0.2500